(1)
Below is KTl2Sb2 at its PBEsol-relaxed geometry, with properties calculated at the meta-GGA SCAN level.

Output
E above lowest polymorph in meV per atom: 0
Formation energy (no corrections) in kJ/mol of formula units: -76
Crystal system: tetragonal

Lattice parameters (Å, degrees): 4.644 4.644 8.537 105.78 105.78 90.00
Element x y z (fractional)
Tl 0.615 0.615 0.229
Tl 0.385 0.385 0.771
Sb 0.250 0.750 0.500
Sb 0.750 0.250 0.500
K 0.000 0.000 0.000

=====

(2)
Below is InTeBrO3 at its PBEsol-relaxed geometry, with properties calculated at the meta-GGA SCAN level.

Output
Formation energy (no corrections) in kJ/mol of formula units: -748
Crystal system: monoclinic

Lattice parameters (Å, degrees): 6.884 7.155 8.681 103.95 90.00 90.00
Element x y z (fractional)
O 0.215 0.009 0.532
O 0.057 0.654 0.321
O 0.443 0.742 0.324
O 0.943 0.346 0.679
O 0.057 0.242 0.324
O 0.557 0.258 0.676
O 0.943 0.758 0.676
O 0.557 0.846 0.679
O 0.285 0.509 0.532
O 0.715 0.491 0.468
O 0.443 0.154 0.321
O 0.785 0.991 0.468
Te 0.265 0.942 0.305
Te 0.765 0.558 0.695
Te 0.735 0.058 0.695
Te 0.235 0.442 0.305
In 0.750 0.199 0.326
In 0.250 0.301 0.674
In 0.250 0.801 0.674
In 0.750 0.699 0.326
Br 0.701 0.378 0.087
Br 0.201 0.122 0.913
Br 0.799 0.878 0.087
Br 0.299 0.622 0.913

=====

(3)
Below is InFe2Ir at its PBEsol-relaxed geometry, with properties calculated at the meta-GGA SCAN level.

Output
Crystal system: tetragonal
Formation energy in eV per atom: -0.016

Lattice parameters (Å, degrees): 2.982 2.982 6.254 90.00 90.00 90.00
Element x y z (fractional)
Ir 0.500 0.500 0.781
Fe 0.000 0.000 0.018
Fe 0.500 0.500 0.215
In 0.000 0.000 0.486

=====

(4)
Below is ZrCrOs2 at its PBEsol-relaxed geometry, with properties calculated at the meta-GGA SCAN level.

Output
Crystal system: orthorhombic
Formation energy in eV per atom: 0.007

Lattice parameters (Å, degrees): 3.074 4.401 5.146 115.32 107.38 90.00
Element x y z (fractional)
Zr 0.508 0.508 0.017
Os 0.987 0.987 0.974
Os 0.749 0.249 0.499
Cr 0.256 0.756 0.511

=====

E (computed, eV per atom): -45.67 -19.42 -35.20 -48.20